Record 1
PBE-GGA RbN2Cl, relaxed; crystal system = trigonal; ΔE_f (raw) = 1321 meV/atom; E above lowest polymorph = 2226.7 meV per atom; density of states at the Fermi level = 0.0 states/eV per cell
1.0
2.3120 1.3348 6.3848
-2.3120 1.3348 6.3848
0.0000 -2.6697 6.3848
Rb N Cl
1 2 1
Cartesian
0.0000 0.0000 0.0000
0.0000 0.0000 8.0192
0.0000 0.0000 11.1351
0.0000 0.0000 9.5772

***

Record 2
PBE-GGA AlTeOs2, relaxed; crystal system = tetragonal; ΔE_f (raw) = 621 meV/atom; E above lowest polymorph = 352.8 meV per atom; density of states at the Fermi level = 4.0 states/eV per cell
1.0
-1.9275 1.9275 4.3526
1.9275 -1.9275 4.3526
1.9275 1.9275 -4.3526
Al Te Os
1 1 2
Cartesian
0.0000 0.0000 0.0000
0.0000 1.9275 2.1763
1.9275 0.0000 2.1763
0.0000 0.0000 4.3526

***

Record 3
PBE-GGA Cs6Rb9As, relaxed; crystal system = tetragonal; E_form = -0.067 eV/atom; density of states at the Fermi level = 14.1 states/eV per cell
1.0
-5.7637 5.7637 10.9699
5.7637 -5.7637 10.9699
5.7637 5.7637 -10.9699
Cs Rb As
6 9 1
Cartesian
8.2103 1.0957 0.0000
0.0000 0.0000 3.4707
1.0957 3.3171 0.0000
4.6681 2.4466 10.9699
0.0000 0.0000 18.4690
-2.4466 4.6681 10.9699
4.7676 2.3779 -3.7610
3.3858 -0.9962 7.2088
4.7676 2.3779 3.7610
2.3779 6.7599 -3.7610
0.0000 0.0000 10.9699
3.3858 -0.9962 14.7309
0.9962 3.3858 7.2088
2.3779 6.7599 3.7610
0.9962 3.3858 14.7309
0.0000 0.0000 0.0000

***

Record 4
PBE-GGA Ba2AsOs, relaxed; crystal system = orthorhombic; E_form = 0.368 eV/atom; density of states at the Fermi level = 3.4 states/eV per cell
1.0
3.2992 0.0000 0.0000
0.0000 4.2665 0.0000
0.0000 0.0000 8.3950
Ba As Os
2 1 1
Cartesian
0.0000 0.0000 2.0852
0.0000 0.0000 6.3098
1.6496 2.1333 4.1975
1.6496 2.1333 0.0000